## i
Computed, not measured: crystalline Zr2PF at its relaxed geometry at the PBE level of DFT.

Properties
Theoretical density in Mg/m³: 5.6

POSCAR file:
```
Zr2PF
1.0
6.5892 0.0000 0.0000
0.0000 6.5892 0.0000
3.2946 3.2946 3.1560
Zr F P
4 2 2
direct
0.5716 0.1250 0.2500
0.3750 0.4284 0.7500
0.8750 0.8216 0.7500
0.1784 0.6250 0.2500
0.2500 0.7500 0.5000
0.5000 0.5000 0.0000
0.0000 0.0000 0.0000
0.7500 0.2500 0.5000
```

## ii
Computed, not measured: crystalline Zr2PF at its relaxed geometry at the PBE level of DFT.

Properties
Theoretical density in Mg/m³: 6.0

POSCAR file:
```
Zr2PF
1.0
3.7032 1.5707 1.9928
0.0452 0.6787 4.4373
2.4291 -2.6824 2.6563
Zr F P
2 1 1
direct
0.2500 0.2500 0.2500
0.7500 0.7500 0.7500
0.0000 0.0000 0.0000
0.5000 0.5000 0.5000
```

Compare the structures above. Which one is the least stable? i is.